1.
This record from the Alexandria database describes an optimized crystal structure of ZrGaIN2. The functional is GGA-PBE.

SG	P4/mmm, No. 123
N(E_F)	0.720	states/eV per atom
crystal system	tetragonal
E_tot	-24.15	eV/cell
formation energy without anion corrections	1126	meV/atom
relative energy among the computed polymorphs	4.11	eV/f.u.

Structure (extended XYZ):
```
5
Lattice="4.056 0.000 0.000 0.000 4.056 0.000 0.000 0.000 5.236" Properties=species:S:1:pos:R:3 pbc="T T T"
I 0.000 0.000 2.618
Ga 0.000 0.000 0.000
Zr 2.028 2.028 2.618
N 0.000 2.028 0.000
N 2.028 0.000 0.000
```


2.
This record from the Alexandria database describes an optimized crystal structure of Rb2TaSnCl6. The functional is GGA-PBE.

SG	Fm-3m, No. 225
N(E_F)	0.038	states/eV per atom
crystal system	cubic
E_tot	-40.74	eV/cell
formation energy without anion corrections	-1187	meV/atom

Structure (extended XYZ):
```
10
Lattice="7.608 0.000 0.000 0.000 7.608 0.000 3.804 3.804 5.384" Properties=species:S:1:pos:R:3 pbc="T T T"
Cl 3.804 3.804 2.863
Cl 7.608 7.608 2.521
Cl 1.784 1.784 0.000
Cl 5.824 5.824 0.000
Cl 5.824 1.784 0.000
Cl 1.784 5.824 0.000
Sn 3.804 3.804 0.000
Rb 7.608 3.804 2.692
Rb 3.804 7.608 2.692
Ta 0.000 0.000 0.000
```


3.
This record from the Alexandria database describes an optimized crystal structure of LiErThGa. The functional is GGA-PBE.

energy relative to the elements	-0.817	eV/f.u.
SG	F-43m, No. 216
N(E_F)	0.696	states/eV per atom
crystal system	cubic
E_tot	-17.74	eV/cell

Structure (extended XYZ):
```
4
Lattice="5.137 0.000 0.000 2.568 4.449 0.000 2.568 1.483 4.194" Properties=species:S:1:pos:R:3 pbc="T T T"
Li 7.705 4.449 3.146
Ga 2.568 1.483 1.049
Th 0.000 0.000 0.000
Er 5.137 2.966 2.097
```


4.
This record from the Alexandria database describes an optimized crystal structure of CeHgPbCl6. The functional is GGA-PBE.

SG	Imma, No. 74
N(E_F)	0.850	states/eV per atom
crystal system	orthorhombic
E_tot	-67.48	eV/cell
formation energy without anion corrections	-1413	meV/atom

Structure (extended XYZ):
```
18
Lattice="10.254 0.000 0.000 0.000 10.455 0.000 -5.127 -5.228 7.344" Properties=species:S:1:pos:R:3 pbc="T T T"
Ce 5.127 5.228 0.000
Ce 5.127 0.000 0.000
Hg 5.127 2.614 5.578
Hg 0.000 2.614 1.767
Pb 2.563 -2.614 3.672
Pb -2.563 -2.614 3.672
Cl 0.000 2.614 6.533
Cl 5.127 -2.614 4.810
Cl 6.993 -0.466 1.768
Cl 3.261 5.694 1.768
Cl 3.261 -0.466 1.768
Cl 6.993 5.694 1.768
Cl 5.127 2.614 0.811
Cl 0.000 7.841 2.535
Cl -1.866 5.694 5.576
Cl 1.866 -0.466 5.576
Cl 1.866 5.694 5.576
Cl -1.866 -0.466 5.576
```